! MnInAg2F6 (GGA+U, optimized geometry); values from VASP
&SYSTEM
  ibrav = 0, nat = 10, ntyp = 4
/
ATOMIC_SPECIES
Mn 54.94 Mn.upf
In 114.82 In.upf
Ag 107.87 Ag.upf
F 19.00 F.upf
CELL_PARAMETERS angstrom
-2.250 0.424 5.350
5.997 -1.526 -0.059
0.622 4.582 -3.425
ATOMIC_POSITIONS angstrom
Mn 1.041 1.864 3.657
In 4.352 3.392 1.916
Ag 3.997 0.337 1.702
Ag 0.335 2.966 0.262
F 4.117 2.776 -0.589
F 0.216 0.528 2.554
F 2.643 0.814 3.827
F 2.526 0.577 -0.115
F 1.807 2.728 2.080
F 1.690 2.489 -1.863
! DFT total energy   -4.328 eV per atom
! Symmetry   No. 2